Material: CeSmSnTe
Method: DFT, PBE
State: optimized geometry

The structure in POSCAR format:
```
CeSmSnTe
1.0
2.2445 1.2959 7.3498
-2.2445 1.2959 7.3498
0.0000 -2.5917 7.3498
Ce Sm Sn Te
1 1 1 1
Cartesian
0.0000 0.0000 0.0000 Ce
0.0000 0.0000 11.1473 Sm
0.0000 0.0000 5.5742 Sn
0.0000 0.0000 16.6120 Te
```

Computed properties:
Its space-group type is R3m, No. 160. The calculation puts the uncorrected energy at -5.482 eV per atom. For the density of states at the Fermi level, the calculation gives 7.1 states/eV/cell. As for the uncorrected formation energy: -1033 meV/atom.